AsAuBr2 (PBEsol, optimized geometry); size of the total moment = 0.00 μB per formula unit; formation energy (no corrections) = -0.19 eV per atom
1.0
3.695 -1.840 0.000
3.695 1.840 0.000
-1.739 0.000 7.799
As Au Br
1 1 2
Cartesian
0.000 0.000 0.000
0.972 0.000 6.416
3.806 0.000 4.800
5.822 0.000 1.804